1.
First-principles (PBE-GGA) data for Al2TeC2 after structural relaxation, as listed in the Alexandria database.

Values from the calculation:
Crystal system: tetragonal
Formation energy from raw total energies: 83 kJ per mole of atoms

a b c (Å): 4.394 4.394 4.868
angles (deg): 63.18 63.18 90.00
Fractional coordinates of all 5 atoms:
C (0.589, 0.589, 0.822)
C (0.411, 0.411, 0.178)
Te (0.000, 0.000, 0.000)
Al (0.250, 0.750, 0.500)
Al (0.750, 0.250, 0.500)

---

2.
First-principles (PBE-GGA) data for NdTm4Ag after structural relaxation, as listed in the Alexandria database.

Values from the calculation:
DFT formation energy: 0.059 eV/atom
Relative energy among the computed polymorphs: 133.7 meV/atom
Crystal system: orthorhombic

a b c (Å): 5.348 6.440 10.833
angles (deg): 90.00 104.29 90.00
Fractional coordinates of all 12 atoms:
Tm (0.535, 0.370, 0.070)
Tm (0.325, 0.081, 0.651)
Tm (0.933, 0.211, 0.866)
Tm (0.465, 0.870, 0.930)
Tm (0.675, 0.581, 0.349)
Tm (0.739, 0.089, 0.478)
Tm (0.261, 0.589, 0.522)
Tm (0.067, 0.711, 0.134)
Nd (0.137, 0.223, 0.274)
Nd (0.863, 0.723, 0.726)
Ag (0.400, 0.460, 0.800)
Ag (0.600, 0.960, 0.200)

---

3.
First-principles (PBE-GGA) data for CdCu2Ir after structural relaxation, as listed in the Alexandria database.

Values from the calculation:
DFT formation energy: 0.150 eV/atom
Crystal system: tetragonal

a b c (Å): 2.860 2.860 7.170
angles (deg): 90.00 90.00 90.00
Fractional coordinates of all 4 atoms:
Cu (0.000, 0.000, 0.481)
Cu (0.000, 0.000, 0.019)
Ir (0.500, 0.500, 0.250)
Cd (0.500, 0.500, 0.750)

---

4.
First-principles (PBE-GGA) data for Si4Se3 after structural relaxation, as listed in the Alexandria database.

Values from the calculation:
Relative energy among the computed polymorphs: 217.9 meV/atom
Crystal system: tetragonal
Formation energy from raw total energies: 34 kJ per mole of atoms

a b c (Å): 13.350 13.350 13.350
angles (deg): 166.14 166.14 19.65
Fractional coordinates of all 7 atoms:
Se (0.321, 0.321, 0.000)
Se (0.000, 0.000, 0.000)
Se (0.679, 0.679, 0.000)
Si (0.871, 0.871, 0.000)
Si (0.431, 0.431, 0.000)
Si (0.569, 0.569, 0.000)
Si (0.129, 0.129, 0.000)

---

5.
First-principles (PBE-GGA) data for TaAgS3 after structural relaxation, as listed in the Alexandria database.

Values from the calculation:
Relative energy among the computed polymorphs: 0.0 meV/atom
Crystal system: orthorhombic
Formation energy from raw total energies: -64 kJ per mole of atoms

a b c (Å): 7.358 7.358 7.782
angles (deg): 90.00 90.00 153.34
Fractional coordinates of all 10 atoms:
S (0.896, 0.104, 0.250)
S (0.326, 0.674, 0.930)
S (0.674, 0.326, 0.070)
S (0.104, 0.896, 0.750)
S (0.674, 0.326, 0.430)
S (0.326, 0.674, 0.570)
Ag (0.000, 0.000, 0.000)
Ag (0.000, 0.000, 0.500)
Ta (0.263, 0.737, 0.250)
Ta (0.737, 0.263, 0.750)

---

6.
First-principles (PBE-GGA) data for Zn2InRe after structural relaxation, as listed in the Alexandria database.

Values from the calculation:
DFT formation energy: 0.391 eV/atom
Crystal system: tetragonal

a b c (Å): 5.154 5.154 5.154
angles (deg): 136.03 136.03 63.93
Fractional coordinates of all 4 atoms:
Zn (0.000, 0.000, 0.000)
Zn (0.500, 0.500, 0.000)
In (0.250, 0.750, 0.500)
Re (0.750, 0.250, 0.500)

---

Calculated magnetization, 0.00; 0.00; 0.00; 0.00; 0.00; 0.00 μB/f.u. (same order as the records).
Calculated E_tot, -4.952; -4.192; -4.342; -4.241; -6.078; -4.043 eV per atom (same order as the records).